Entry 1:
# Hf3H3Pd (PBE, optimized geometry)
# **Total moment**: 0.0 μB/cell
# **Theoretical density**: 12.12 Mg/m³
# **DOS at the Fermi energy**: 8.33 states/eV/cell
data_Hf3H3Pd
_chemical_formula_sum 'Hf6 H6 Pd2'
_symmetry_space_group_name_H-M 'P 1'
_symmetry_Int_Tables_number 1
_cell_length_a 5.611
_cell_length_b 5.611
_cell_length_c 5.611
_cell_angle_alpha 90.00
_cell_angle_beta 90.00
_cell_angle_gamma 90.00
loop_
_symmetry_equiv_pos_as_xyz
'x,y,z'
loop_
_atom_site_label
_atom_site_fract_x
_atom_site_fract_y
_atom_site_fract_z
Hf1 0.000 0.250 0.500
Hf2 0.000 0.750 0.500
Hf3 0.250 0.500 0.000
Hf4 0.500 0.000 0.250
Hf5 0.500 0.000 0.750
Hf6 0.750 0.500 0.000
H1 0.000 0.500 0.250
H2 0.000 0.500 0.750
H3 0.250 0.000 0.500
H4 0.500 0.250 0.000
H5 0.500 0.750 0.000
H6 0.750 0.000 0.500
Pd1 0.000 0.000 0.000
Pd2 0.500 0.500 0.500


Entry 2:
# SrPmBiPd (PBE, optimized geometry)
# **Total moment**: 0.0 μB/cell
# **Theoretical density**: 7.92 Mg/m³
# **DOS at the Fermi energy**: 1.87 states/eV/cell
# **ΔH_f (0 K)**: -0.6581 eV/atom
data_SrPmBiPd
_chemical_formula_sum 'Sr1 Pm1 Bi1 Pd1'
_symmetry_space_group_name_H-M 'P 1'
_symmetry_Int_Tables_number 1
_cell_length_a 5.456
_cell_length_b 5.456
_cell_length_c 5.456
_cell_angle_alpha 60.00
_cell_angle_beta 60.00
_cell_angle_gamma 60.00
loop_
_symmetry_equiv_pos_as_xyz
'x,y,z'
loop_
_atom_site_label
_atom_site_fract_x
_atom_site_fract_y
_atom_site_fract_z
Sr1 0.000 0.000 0.000
Pm1 0.500 0.500 0.500
Bi1 0.250 0.250 0.250
Pd1 0.750 0.750 0.750


Entry 3:
# TbNdTlBi (PBE, optimized geometry)
# **Total moment**: 0.0 μB/cell
# **Theoretical density**: 9.99 Mg/m³
# **DOS at the Fermi energy**: 4.26 states/eV/cell
# **ΔH_f (0 K)**: -0.4468 eV/atom
data_TbNdTlBi
_chemical_formula_sum 'Tb1 Nd1 Tl1 Bi1'
_symmetry_space_group_name_H-M 'P 1'
_symmetry_Int_Tables_number 1
_cell_length_a 5.523
_cell_length_b 5.523
_cell_length_c 5.523
_cell_angle_alpha 60.00
_cell_angle_beta 60.00
_cell_angle_gamma 60.00
loop_
_symmetry_equiv_pos_as_xyz
'x,y,z'
loop_
_atom_site_label
_atom_site_fract_x
_atom_site_fract_y
_atom_site_fract_z
Tb1 0.000 0.000 0.000
Nd1 0.500 0.500 0.500
Tl1 0.750 0.750 0.750
Bi1 0.250 0.250 0.250


Entry 4:
# CePr2ZrP4 (PBE, optimized geometry)
# **Total moment**: 0.2 μB/cell
# **Theoretical density**: 5.64 Mg/m³
# **DOS at the Fermi energy**: 5.71 states/eV/cell
# **ΔH_f (0 K)**: -1.4574 eV/atom
data_CePr2ZrP4
_chemical_formula_sum 'Ce1 Pr2 Zr1 P4'
_symmetry_space_group_name_H-M 'P 1'
_symmetry_Int_Tables_number 1
_cell_length_a 6.995
_cell_length_b 4.040
_cell_length_c 7.028
_cell_angle_alpha 90.00
_cell_angle_beta 109.20
_cell_angle_gamma 90.00
loop_
_symmetry_equiv_pos_as_xyz
'x,y,z'
loop_
_atom_site_label
_atom_site_fract_x
_atom_site_fract_y
_atom_site_fract_z
Ce1 0.000 0.000 0.000
Pr1 0.000 0.500 0.500
Pr2 0.500 0.000 0.500
Zr1 0.500 0.500 0.000
P1 0.254 0.500 0.232
P2 0.266 0.000 0.773
P3 0.734 0.000 0.227
P4 0.746 0.500 0.768


Entry 5:
# BiBPt3 (PBE, optimized geometry)
# **Total moment**: 0.0 μB/cell
# **Theoretical density**: 10.01 Mg/m³
# **DOS at the Fermi energy**: 1.41 states/eV/cell
# **ΔH_f (0 K)**: 1.9652 eV/atom
# **Energy above the lowest structure with this stoichiometry**: 2.183 eV/atom
data_BiBPt3
_chemical_formula_sum 'Bi1 B1 Pt3'
_symmetry_space_group_name_H-M 'P 1'
_symmetry_Int_Tables_number 1
_cell_length_a 5.111
_cell_length_b 5.111
_cell_length_c 5.111
_cell_angle_alpha 90.00
_cell_angle_beta 90.00
_cell_angle_gamma 90.00
loop_
_symmetry_equiv_pos_as_xyz
'x,y,z'
loop_
_atom_site_label
_atom_site_fract_x
_atom_site_fract_y
_atom_site_fract_z
Bi1 0.000 0.000 0.000
B1 0.500 0.500 0.500
Pt1 0.000 0.000 0.500
Pt2 0.000 0.500 0.000
Pt3 0.500 0.000 0.000


Entry 6:
# Sb2AsOsSe (PBE, optimized geometry)
# **Total moment**: 2.3 μB/cell
# **Formation energy (no corrections)**: 1535 meV per atom
# **Theoretical density**: 7.31 Mg/m³
# **DOS at the Fermi energy**: 4.41 states/eV/cell
data_Sb2AsOsSe
_chemical_formula_sum 'Sb2 As1 Os1 Se1'
_symmetry_space_group_name_H-M 'P 1'
_symmetry_Int_Tables_number 1
_cell_length_a 5.279
_cell_length_b 5.279
_cell_length_c 4.791
_cell_angle_alpha 90.00
_cell_angle_beta 90.00
_cell_angle_gamma 90.00
loop_
_symmetry_equiv_pos_as_xyz
'x,y,z'
loop_
_atom_site_label
_atom_site_fract_x
_atom_site_fract_y
_atom_site_fract_z
Sb1 0.000 0.500 0.000
Sb2 0.500 0.000 0.000
As1 0.000 0.000 0.000
Os1 0.500 0.500 0.500
Se1 0.000 0.000 0.500


Entry 7:
# RbMn2Mo (PBE, optimized geometry)
# **Total moment**: 10.4 μB/cell
# **Theoretical density**: 4.03 Mg/m³
# **DOS at the Fermi energy**: 6.55 states/eV/cell
# **ΔH_f (0 K)**: 1.3890 eV/atom
# **Energy above the lowest structure with this stoichiometry**: 0.000 eV/atom
data_RbMn2Mo
_chemical_formula_sum 'Rb2 Mn4 Mo2'
_symmetry_space_group_name_H-M 'P 1'
_symmetry_Int_Tables_number 1
_cell_length_a 8.784
_cell_length_b 8.784
_cell_length_c 8.784
_cell_angle_alpha 143.36
_cell_angle_beta 143.36
_cell_angle_gamma 52.78
loop_
_symmetry_equiv_pos_as_xyz
'x,y,z'
loop_
_atom_site_label
_atom_site_fract_x
_atom_site_fract_y
_atom_site_fract_z
Rb1 0.375 0.625 0.750
Rb2 0.625 0.375 0.250
Mn1 0.000 0.000 0.000
Mn2 0.000 0.000 0.500
Mn3 0.000 0.500 0.000
Mn4 0.500 0.000 0.500
Mo1 0.125 0.875 0.250
Mo2 0.875 0.125 0.750


Entry 8:
# Li2RuSe (PBE, optimized geometry)
# **Total moment**: 0.2 μB/cell
# **Formation energy (no corrections)**: -197 meV per atom
# **Theoretical density**: 5.44 Mg/m³
# **DOS at the Fermi energy**: 2.55 states/eV/cell
data_Li2RuSe
_chemical_formula_sum 'Li2 Ru1 Se1'
_symmetry_space_group_name_H-M 'P 1'
_symmetry_Int_Tables_number 1
_cell_length_a 3.220
_cell_length_b 3.220
_cell_length_c 5.710
_cell_angle_alpha 90.00
_cell_angle_beta 90.00
_cell_angle_gamma 90.00
loop_
_symmetry_equiv_pos_as_xyz
'x,y,z'
loop_
_atom_site_label
_atom_site_fract_x
_atom_site_fract_y
_atom_site_fract_z
Li1 0.000 0.000 0.000
Li2 0.500 0.500 0.261
Ru1 0.000 0.000 0.521
Se1 0.500 0.500 0.729


Entry 9:
# LiNi2W (PBE, optimized geometry)
# **Total moment**: 0.0 μB/cell
# **Theoretical density**: 10.02 Mg/m³
# **DOS at the Fermi energy**: 4.39 states/eV/cell
# **ΔH_f (0 K)**: 0.2739 eV/atom
data_LiNi2W
_chemical_formula_sum 'Li1 Ni2 W1'
_symmetry_space_group_name_H-M 'P 1'
_symmetry_Int_Tables_number 1
_cell_length_a 4.525
_cell_length_b 2.561
_cell_length_c 4.924
_cell_angle_alpha 90.00
_cell_angle_beta 116.52
_cell_angle_gamma 90.00
loop_
_symmetry_equiv_pos_as_xyz
'x,y,z'
loop_
_atom_site_label
_atom_site_fract_x
_atom_site_fract_y
_atom_site_fract_z
Li1 0.000 0.000 0.000
Ni1 0.500 0.000 0.500
Ni2 0.500 0.500 0.000
W1 0.000 0.500 0.500


Entry 10:
# LiMg3In (PBE, optimized geometry)
# **Total moment**: 0.0 μB/cell
# **Theoretical density**: 3.00 Mg/m³
# **DOS at the Fermi energy**: 6.04 states/eV/cell
# **ΔH_f (0 K)**: -0.0954 eV/atom
# **Energy above the lowest structure with this stoichiometry**: 0.000 eV/atom
data_LiMg3In
_chemical_formula_sum 'Li4 Mg12 In4'
_symmetry_space_group_name_H-M 'P 1'
_symmetry_Int_Tables_number 1
_cell_length_a 6.085
_cell_length_b 4.880
_cell_length_c 14.502
_cell_angle_alpha 90.00
_cell_angle_beta 90.00
_cell_angle_gamma 90.00
loop_
_symmetry_equiv_pos_as_xyz
'x,y,z'
loop_
_atom_site_label
_atom_site_fract_x
_atom_site_fract_y
_atom_site_fract_z
Li1 0.201 0.250 0.048
Li2 0.299 0.750 0.548
Li3 0.701 0.250 0.452
Li4 0.799 0.750 0.952
Mg1 0.009 0.750 0.143
Mg2 0.204 0.750 0.743
Mg3 0.208 0.250 0.450
Mg4 0.292 0.750 0.950
Mg5 0.296 0.250 0.243
Mg6 0.491 0.250 0.643
Mg7 0.509 0.750 0.357
Mg8 0.704 0.750 0.757
Mg9 0.708 0.250 0.050
Mg10 0.792 0.750 0.550
Mg11 0.796 0.250 0.257
Mg12 0.991 0.250 0.857
In1 0.007 0.750 0.358
In2 0.493 0.250 0.858
In3 0.507 0.750 0.142
In4 0.993 0.250 0.642


Entry 11:
# BeSbBr2 (PBE, optimized geometry)
# **Total moment**: 0.0 μB/cell
# **Formation energy (no corrections)**: -322 meV per atom
# **Theoretical density**: 3.85 Mg/m³
# **DOS at the Fermi energy**: 0.95 states/eV/cell
# **Energy above the lowest structure with this stoichiometry**: 0.000 eV/atom
data_BeSbBr2
_chemical_formula_sum 'Be1 Sb1 Br2'
_symmetry_space_group_name_H-M 'P 1'
_symmetry_Int_Tables_number 1
_cell_length_a 12.828
_cell_length_b 12.828
_cell_length_c 12.828
_cell_angle_alpha 15.14
_cell_angle_beta 15.14
_cell_angle_gamma 15.14
loop_
_symmetry_equiv_pos_as_xyz
'x,y,z'
loop_
_atom_site_label
_atom_site_fract_x
_atom_site_fract_y
_atom_site_fract_z
Be1 0.000 0.000 0.000
Sb1 0.500 0.500 0.500
Br1 0.370 0.370 0.370
Br2 0.630 0.630 0.630


Entry 12:
# Cd2HgPd2 (PBE, optimized geometry)
# **Total moment**: 0.0 μB/cell
# **Theoretical density**: 10.84 Mg/m³
# **DOS at the Fermi energy**: 4.02 states/eV/cell
# **ΔH_f (0 K)**: -0.2637 eV/atom
# **Energy above the lowest structure with this stoichiometry**: 0.000 eV/atom
data_Cd2HgPd2
_chemical_formula_sum 'Cd4 Hg2 Pd4'
_symmetry_space_group_name_H-M 'P 1'
_symmetry_Int_Tables_number 1
_cell_length_a 7.311
_cell_length_b 7.311
_cell_length_c 3.658
_cell_angle_alpha 90.00
_cell_angle_beta 90.00
_cell_angle_gamma 90.00
loop_
_symmetry_equiv_pos_as_xyz
'x,y,z'
loop_
_atom_site_label
_atom_site_fract_x
_atom_site_fract_y
_atom_site_fract_z
Cd1 0.157 0.343 0.000
Cd2 0.343 0.843 0.000
Cd3 0.657 0.157 0.000
Cd4 0.843 0.657 0.000
Hg1 0.000 0.000 0.500
Hg2 0.500 0.500 0.500
Pd1 0.139 0.639 0.500
Pd2 0.361 0.139 0.500
Pd3 0.639 0.861 0.500
Pd4 0.861 0.361 0.500


Number 1: total DFT energy (no corrections) -95.78 eV/cell. Number 2: total DFT energy (no corrections) -18.14 eV/cell. Number 3: total DFT energy (no corrections) -17.43 eV/cell. Number 4: total DFT energy (no corrections) -57.34 eV/cell. Number 5: total DFT energy (no corrections) -18.85 eV/cell. Number 6: total DFT energy (no corrections) -19.93 eV/cell. Number 7: total DFT energy (no corrections) -49.16 eV/cell. Number 8: total DFT energy (no corrections) -17.38 eV/cell. Number 9: total DFT energy (no corrections) -25.33 eV/cell. Number 10: total DFT energy (no corrections) -39.65 eV/cell. Number 11: total DFT energy (no corrections) -12.48 eV/cell. Number 12: total DFT energy (no corrections) -27.67 eV/cell.